Here is La2VZnTe after structural relaxation from the Alexandria database. Energies are from PBE.

abc: 5.9956 4.8148 5.9956
angles: 90.00 90.00 90.00
With the nearest neighbours (Å) after each atom.
Sites, in units of the cell vectors:
V  0.0000  0.5000  0.0000  2 Te 2.41
La  0.5000  0.0000  0.0000  2 Te 3.00
La  0.0000  0.0000  0.5000  2 Te 3.00
Te  0.0000  0.0000  0.0000  2 V 2.41
Zn  0.5000  0.5000  0.5000  8 La 3.84, 4 V 4.24

Properties
Space-group type: No. 123
Energy relative to the elements, uncorrected, eV per atom: 0.335
Density of states at the Fermi level, states/eV/atom: 1.89



Here is La2ZrVTe after structural relaxation from the Alexandria database. Energies are from PBE.

abc: 5.8208 4.6480 5.8208
angles: 90.00 90.00 90.00
With the nearest neighbours (Å) after each atom.
Sites, in units of the cell vectors:
La  0.0000  0.0000  0.5000  2 Zr 2.91
La  0.5000  0.0000  0.0000  2 Zr 2.91
Te  0.5000  0.5000  0.5000  8 La 3.72, 4 V 4.12
Zr  0.0000  0.0000  0.0000  2 V 2.32
V  0.0000  0.5000  0.0000  2 Zr 2.32

Properties
Space-group type: No. 123
Energy relative to the elements, uncorrected, eV per atom: 0.385
Density of states at the Fermi level, states/eV/atom: 1.14



Here is LaTeW after structural relaxation from the Alexandria database. Energies are from PBE.

abc: 3.5037 3.5037 7.2000
angles: 90.00 90.00 120.00
With the nearest neighbours (Å) after each atom.
Sites, in units of the cell vectors:
W  0.3333  0.6667  0.6376  3 Te 2.72
La  0.0000  0.0000  0.9782  3 W 3.18, 6 La 3.50, 3 Te 3.56
Te  0.6667  0.3333  0.3842  3 W 2.72

Properties
Space-group type: No. 156
E above lowest polymorph, eV/f.u.: 0.764
Energy relative to the elements, uncorrected, eV per atom: 0.372
Density of states at the Fermi level, states/eV/atom: 1.28



Here is LaTeW after structural relaxation from the Alexandria database. Energies are from PBE.

abc: 4.7965 4.7965 4.7965
angles: 60.00 60.00 60.00
With the nearest neighbours (Å) after each atom.
Sites, in units of the cell vectors:
Te  0.5000  0.5000  0.5000  4 W 2.94
W  0.7500  0.7500  0.7500  4 La 2.94, 4 Te 2.94
La  0.0000  0.0000  0.0000  4 W 2.94

Properties
Space-group type: No. 216
E above lowest polymorph, eV/f.u.: 1.072
Energy relative to the elements, uncorrected, eV per atom: 0.475
Density of states at the Fermi level, states/eV/atom: 1.34



Here is LaTeW2 after structural relaxation from the Alexandria database. Energies are from PBE.

abc: 5.0725 3.6799 5.0489
angles: 88.70 90.00 90.00
With the nearest neighbours (Å) after each atom.
Sites, in units of the cell vectors:
W  0.0000  0.6382  0.4815  1 W 2.46
W  0.0000  0.8618  0.0185  1 W 2.46
Te  0.5000  0.7500  0.7500  4 W 2.91, 4 La 3.09-3.16
La  0.5000  0.2500  0.2500  4 Te 3.09-3.16, 4 W 3.15

Properties
Space-group type: No. 10
Energy relative to the elements, uncorrected, eV per atom: 0.619
Density of states at the Fermi level, states/eV/atom: 0.86



Here is LaTeW after structural relaxation from the Alexandria database. Energies are from PBE.

abc: 6.4417 6.4417 3.5203
angles: 74.14 74.14 31.71
With the nearest neighbours (Å) after each atom.
Sites, in units of the cell vectors:
Te  0.2975  0.2975  0.7025  4 W 2.80
W  0.6889  0.6889  0.3111  4 Te 2.80
La  0.0136  0.0136  0.9864  4 W 3.25, 5 Te 3.37-3.58, 4 La 3.52

Properties
Space-group type: No. 107
E above lowest polymorph, eV/f.u.: 0.000
Energy relative to the elements, uncorrected, eV per atom: 0.117
Density of states at the Fermi level, states/eV/atom: 1.65



Here is LaTe2W after structural relaxation from the Alexandria database. Energies are from PBE.

abc: 4.4969 4.4969 6.4970
angles: 69.77 69.77 59.99
With the nearest neighbours (Å) after each atom.
Sites, in units of the cell vectors:
Te  0.4801  0.4801  0.5597  3 W 2.83
Te  0.0199  0.0199  0.9403  3 W 2.83
W  0.7500  0.7500  0.7500  6 Te 2.83
La  0.2500  0.2500  0.2500  6 Te 3.18-3.19

Properties
Space-group type: No. 166
E above lowest polymorph, eV/f.u.: 0.000
Energy relative to the elements, uncorrected, eV per atom: -0.260
Density of states at the Fermi level, states/eV/atom: 0.95



Here is LaTeW2 after structural relaxation from the Alexandria database. Energies are from PBE.

abc: 5.0977 4.1691 4.1691
angles: 90.00 90.00 90.00
With the nearest neighbours (Å) after each atom.
Sites, in units of the cell vectors:
Te  0.5000  0.0000  0.5000  4 La 2.95, 8 W 3.29
W  0.0000  0.5000  0.5000  4 W 2.95, 4 La 3.29, 4 Te 3.29
W  0.0000  0.0000  0.0000  4 W 2.95, 4 La 3.29, 4 Te 3.29
La  0.5000  0.5000  0.0000  4 Te 2.95, 8 W 3.29

Properties
Space-group type: No. 123
Energy relative to the elements, uncorrected, eV per atom: 0.726
Density of states at the Fermi level, states/eV/atom: 0.92



Here is LaTe2W after structural relaxation from the Alexandria database. Energies are from PBE.

abc: 3.4842 3.4842 7.7807
angles: 90.00 90.00 90.08
With the nearest neighbours (Å) after each atom.
Sites, in units of the cell vectors:
W  0.5000  0.5000  0.2500  8 Te 2.95
Te  0.0000  0.0000  0.4593  4 W 2.95, 1 Te 3.26
Te  0.0000  0.0000  0.0407  4 W 2.95, 1 Te 3.26
La  0.5000  0.5000  0.7500  8 Te 3.34-3.35, 4 La 3.48

Properties
Space-group type: No. 123
E above lowest polymorph, eV/f.u.: 0.925
Energy relative to the elements, uncorrected, eV per atom: -0.029
Density of states at the Fermi level, states/eV/atom: 0.96



Here is LaTeW2 after structural relaxation from the Alexandria database. Energies are from PBE.

abc: 9.5376 9.5376 9.5376
angles: 20.45 20.45 20.45
With the nearest neighbours (Å) after each atom.
Sites, in units of the cell vectors:
Te  0.7356  0.7356  0.7356  3 W 2.91
La  0.5068  0.5068  0.5068  3 W 3.23, 6 La 3.39, 3 Te 3.52
W  0.9921  0.9921  0.9921  3 W 2.58
W  0.2655  0.2655  0.2655  3 W 2.58

Properties
Space-group type: No. 160
Energy relative to the elements, uncorrected, eV per atom: 0.427
Density of states at the Fermi level, states/eV/atom: 0.82



Here is LaTeW2 after structural relaxation from the Alexandria database. Energies are from PBE.

abc: 3.3513 3.3513 7.9063
angles: 90.00 90.00 90.00
With the nearest neighbours (Å) after each atom.
Sites, in units of the cell vectors:
La  0.0000  0.0000  0.4687  5 W 3.19-3.50, 4 La 3.35, 4 Te 3.58
W  0.5000  0.5000  0.1977  4 W 2.73
W  0.0000  0.0000  0.0261  4 W 2.73, 4 Te 2.93
Te  0.5000  0.5000  0.8075  5 W 2.93-3.08

Properties
Space-group type: No. 99
Energy relative to the elements, uncorrected, eV per atom: 0.212
Density of states at the Fermi level, states/eV/atom: 1.12



Here is LaTeW2 after structural relaxation from the Alexandria database. Energies are from PBE.

abc: 4.2249 3.4286 6.5685
angles: 89.90 90.00 90.00
With the nearest neighbours (Å) after each atom.
Sites, in units of the cell vectors:
Te  0.5000  0.8753  0.7848  4 W 2.78-2.90
La  0.0000  0.3760  0.5088  4 W 3.25-3.32, 4 Te 3.27, 2 La 3.43
W  0.5000  0.3744  0.1186  4 W 2.73, 2 Te 2.78
W  0.0000  0.8743  0.0877  4 W 2.73, 2 Te 2.90

Properties
Space-group type: No. 6
Energy relative to the elements, uncorrected, eV per atom: 0.307
Density of states at the Fermi level, states/eV/atom: 0.86



Here is LaTe2W after structural relaxation from the Alexandria database. Energies are from PBE.

abc: 5.3983 5.3983 5.3983
angles: 131.16 115.43 84.97
With the nearest neighbours (Å) after each atom.
Sites, in units of the cell vectors:
Te  0.9565  0.9565  0.0000  2 W 2.77
Te  0.5435  0.5435  0.0000  2 W 2.77
La  0.2500  0.7500  0.5000  8 Te 3.23-3.32
W  0.7500  0.2500  0.5000  4 Te 2.77

Properties
Space-group type: No. 71
E above lowest polymorph, eV/f.u.: 0.420
Energy relative to the elements, uncorrected, eV per atom: -0.155
Density of states at the Fermi level, states/eV/atom: 0.92



Here is LaTeW2 after structural relaxation from the Alexandria database. Energies are from PBE.

abc: 3.1399 3.1399 9.3557
angles: 90.00 90.00 113.00
With the nearest neighbours (Å) after each atom.
Sites, in units of the cell vectors:
Te  0.5000  0.5000  0.7500  4 W 2.75
La  0.5000  0.5000  0.2500  4 W 3.08, 4 La 3.14
W  0.0000  0.0000  0.9782  2 Te 2.75, 2 La 3.08
W  0.0000  0.0000  0.5218  2 Te 2.75, 2 La 3.08

Properties
Space-group type: No. 65
Energy relative to the elements, uncorrected, eV per atom: 1.035
Density of states at the Fermi level, states/eV/atom: 0.99